The following is a GGA-PBE calculation of a relaxed structure of K2ScCdRh, from Alexandria via LeMat-Bulk.

Output
ΔH_f (0 K)	0.294	eV/atom
D(E_F)	4.0	states/eV per cell

Cell and atoms, written as POSCAR:
```
K2ScCdRh
1.0
6.3639 0.0000 0.0000
0.0000 6.3639 0.0000
0.0000 0.0000 4.7651
K Sc Cd Rh
2 1 1 1
Direct
0.0000 0.5000 0.0000
0.5000 0.0000 0.0000
0.0000 0.0000 0.5000
0.5000 0.5000 0.5000
0.0000 0.0000 0.0000
```

---

The following is a GGA-PBE calculation of a relaxed structure of KScCdRh2, from Alexandria via LeMat-Bulk.

Output
ΔH_f (0 K)	0.996	eV/atom
D(E_F)	3.0	states/eV per cell

Cell and atoms, written as POSCAR:
```
KScCdRh2
1.0
5.0508 0.0000 0.0000
0.0000 5.0508 0.0000
0.0000 0.0000 5.1180
K Sc Cd Rh
1 1 1 2
Direct
0.0000 0.0000 0.0000
0.5000 0.5000 0.0000
0.0000 0.0000 0.5000
0.0000 0.5000 0.5000
0.5000 0.0000 0.5000
```

---

Quick rundown of total magnetization, same order as above: 0.00; 0.00 Bohr magnetons per cell